The following is a PBE-GGA calculation of a relaxed SmAlPt2 crystal, from the Alexandria database.

Lattice parameters (Å, degrees): 7.3856 7.1080 5.8041 90.00 90.00 90.00
With the nearest neighbours (Å) after each atom.
Atoms (fractional coordinates):
Sm: 0.0276 0.2500 0.1482  8 Pt 3.06-3.22, 3 Al 3.08-3.14
Sm: 0.4724 0.7500 0.6482  8 Pt 3.06-3.22, 3 Al 3.08-3.14
Sm: 0.5276 0.2500 0.3518  8 Pt 3.06-3.22, 3 Al 3.08-3.14
Sm: 0.9724 0.7500 0.8518  8 Pt 3.06-3.22, 3 Al 3.08-3.14
Al: 0.1163 0.7500 0.3532  6 Pt 2.57-2.63
Al: 0.3837 0.2500 0.8532  6 Pt 2.57-2.63
Al: 0.6163 0.7500 0.1468  6 Pt 2.57-2.63
Al: 0.8837 0.2500 0.6468  6 Pt 2.57-2.63
Pt: 0.1815 0.0522 0.5864  3 Al 2.57-2.63, 1 Pt 2.81
Pt: 0.1815 0.4478 0.5864  3 Al 2.57-2.63, 1 Pt 2.81
Pt: 0.3185 0.5522 0.0864  3 Al 2.57-2.63, 1 Pt 2.81
Pt: 0.3185 0.9478 0.0864  3 Al 2.57-2.63, 1 Pt 2.81
Pt: 0.6815 0.0522 0.9136  3 Al 2.57-2.63, 1 Pt 2.81
Pt: 0.6815 0.4478 0.9136  3 Al 2.57-2.63, 1 Pt 2.81
Pt: 0.8185 0.5522 0.4136  3 Al 2.57-2.63, 1 Pt 2.81
Pt: 0.8185 0.9478 0.4136  3 Al 2.57-2.63, 1 Pt 2.81

Summary:
Energy relative to the elements: -1.139 eV/atom
Total magnetization: 0.0 μB/f.u.
Raw total energy: -6.275 eV per atom
Symmetry: Pnma (62)